DFT (PBE-GGA) results for an optimized crystal structure of Ce4Bi2B.

## Properties
Its spin magnetization is 3.8 μB/f.u. The total energy is -82.68 eV/cell. The value obtained for the formation energy is -451.9 meV per atom.

a b c (Å): 4.9910 4.9910 16.6976
angles (deg): 90.00 90.00 90.00
Space group I4/mmm (No. 139)
Inequivalent atoms, fractional coordinates:
1 Ce 0.0000 0.0000 0.1592 x4
2 Ce 0.0000 0.5000 0.0000 x4
3 Bi 0.0000 0.0000 0.3590 x4
4 B 0.0000 0.0000 0.0000 x2